1.
# Na4Ho3ScS8 (PBE, optimized geometry)
# **Raw total energy**: -0.402 Ry/atom
# **E_form (uncorrected)**: -1.819 eV per atom
data_Na4Ho3ScS8
_cell_length_a 7.8396
_cell_length_b 7.8396
_cell_length_c 19.9980
_cell_angle_alpha 90.00
_cell_angle_beta 90.00
_cell_angle_gamma 120.00
_space_group_name_H-M_alt 'R -3 m'
_space_group_IT_number 166
_space_group_name_Hall '-R 3 2"'
loop_
_atom_site_label
_atom_site_type_symbol
_atom_site_fract_x
_atom_site_fract_y
_atom_site_fract_z
Na1 Na 0.0000 0.0000 0.0000
Na2 Na 0.0000 0.5000 0.0000
Ho1 Ho 0.0000 0.5000 0.5000
Sc1 Sc 0.0000 0.0000 0.5000
S1 S 0.0000 0.0000 0.2425
S2 S 0.0100 0.5050 0.2406


2.
# Sr2CaMgRh (PBE, optimized geometry)
# **ΔH_f (0 K)**: -0.1221 eV/atom
# **Raw total energy**: -0.219 Ry/atom
# **Relative energy among the computed polymorphs**: 0.0 meV per atom
data_Sr2CaMgRh
_cell_length_a 5.8299
_cell_length_b 5.8299
_cell_length_c 5.5087
_cell_angle_alpha 90.00
_cell_angle_beta 90.00
_cell_angle_gamma 90.00
_space_group_name_H-M_alt 'P 4/m m m'
_space_group_IT_number 123
_space_group_name_Hall '-P 4 2'
loop_
_atom_site_label
_atom_site_type_symbol
_atom_site_fract_x
_atom_site_fract_y
_atom_site_fract_z
Sr1 Sr 0.0000 0.5000 0.0000
Ca1 Ca 0.0000 0.0000 0.5000
Mg1 Mg 0.5000 0.5000 0.5000
Rh1 Rh 0.0000 0.0000 0.0000


3.
# AgSbTe2I (PBE, optimized geometry)
# **Raw total energy**: -0.181 Ry/atom
# **E_form (uncorrected)**: 0.499 eV per atom
# **Relative energy among the computed polymorphs**: 573.3 meV per atom
data_AgSbTe2I
_cell_length_a 5.7647
_cell_length_b 5.7647
_cell_length_c 5.9757
_cell_angle_alpha 90.00
_cell_angle_beta 90.00
_cell_angle_gamma 90.00
_space_group_name_H-M_alt 'P 4/m m m'
_space_group_IT_number 123
_space_group_name_Hall '-P 4 2'
loop_
_atom_site_label
_atom_site_type_symbol
_atom_site_fract_x
_atom_site_fract_y
_atom_site_fract_z
Ag1 Ag 0.0000 0.0000 0.0000
Sb1 Sb 0.5000 0.5000 0.5000
Te1 Te 0.0000 0.5000 0.5000
I1 I 0.5000 0.5000 0.0000


4.
# Pr12SmSc3 (PBE, optimized geometry)
# **ΔH_f (0 K)**: 0.0332 eV/atom
# **Raw total energy**: -0.370 Ry/atom
data_Pr12SmSc3
_cell_length_a 5.1190
_cell_length_b 5.1190
_cell_length_c 20.4800
_cell_angle_alpha 90.00
_cell_angle_beta 90.00
_cell_angle_gamma 90.00
_space_group_name_H-M_alt 'P 4/m m m'
_space_group_IT_number 123
_space_group_name_Hall '-P 4 2'
loop_
_atom_site_label
_atom_site_type_symbol
_atom_site_fract_x
_atom_site_fract_y
_atom_site_fract_z
Pr1 Pr 0.0000 0.0000 0.0000
Pr2 Pr 0.0000 0.0000 0.2467
Pr3 Pr 0.0000 0.0000 0.5000
Pr4 Pr 0.0000 0.5000 0.1234
Pr5 Pr 0.0000 0.5000 0.3704
Sm1 Sm 0.5000 0.5000 0.5000
Sc1 Sc 0.5000 0.5000 0.0000
Sc2 Sc 0.5000 0.5000 0.2470